Entry 1:
Computed, not measured: a geometry-optimized CdSbAsO structure at the PBE level of DFT.

Structure (POSCAR):
```
CdSbAsO
1.0
-0.567 0.628 4.645
3.024 -3.526 0.846
6.427 5.521 0.038
Sb As Cd O
2 2 2 2
direct
0.750 0.250 0.500 Sb
0.250 0.750 0.500 Sb
0.750 0.750 0.336 As
0.250 0.250 0.664 As
0.250 0.250 0.007 Cd
0.750 0.750 0.993 Cd
0.250 0.750 0.000 O
0.750 0.250 0.000 O
```

Space-group type   P4/nmm


Entry 2:
Computed, not measured: a geometry-optimized CdSbAsO structure at the PBE level of DFT.

Structure (POSCAR):
```
CdSbAsO
1.0
-2.294 -3.286 -0.746
2.323 -0.889 -3.230
5.472 -5.028 5.321
Cd As Sb O
2 2 2 2
direct
0.250 0.750 0.500 Cd
0.750 0.250 0.500 Cd
0.250 0.250 0.707 As
0.750 0.750 0.293 As
0.750 0.750 0.877 Sb
0.250 0.250 0.123 Sb
0.250 0.750 0.000 O
0.750 0.250 0.000 O
```

Space-group type   P4/nmm


Entry 3:
Computed, not measured: a geometry-optimized CdSbAsO structure at the PBE level of DFT.

Structure (POSCAR):
```
CdSbAsO
1.0
-1.295 3.014 1.927
-5.143 -4.366 3.371
4.283 -1.279 4.878
Cd As O Sb
2 2 2 2
direct
0.000 0.335 0.982 Cd
0.000 0.665 0.482 Cd
0.000 0.682 0.884 As
0.000 0.318 0.384 As
0.500 0.748 0.328 O
0.500 0.252 0.828 O
0.500 0.872 0.060 Sb
0.500 0.128 0.560 Sb
```

Space-group type   Pmc2_1


Entry 4:
Computed, not measured: a geometry-optimized CdSbAsO structure at the PBE level of DFT.

Structure (POSCAR):
```
CdSbAsO
1.0
-0.126 3.557 3.117
-1.828 2.839 -3.313
-7.770 -2.302 2.314
As Cd O Sb
2 2 2 2
direct
0.750 0.750 0.665 As
0.250 0.250 0.335 As
0.250 0.250 0.991 Cd
0.750 0.750 0.011 Cd
0.250 0.749 0.000 O
0.749 0.250 0.000 O
0.750 0.250 0.499 Sb
0.250 0.750 0.499 Sb
```

Space-group type   P4mm


Entry 5:
Computed, not measured: a geometry-optimized CdSiAsO structure at the PBE level of DFT.

Structure (POSCAR):
```
CdSiAsO
1.0
4.354 0.000 0.000
0.000 4.354 0.000
0.000 0.000 8.311
Cd O Si As
2 2 2 2
direct
0.000 0.500 0.944 Cd
0.500 0.000 0.056 Cd
0.500 0.500 0.000 O
0.000 0.000 0.000 O
0.500 0.500 0.500 Si
0.000 0.000 0.500 Si
0.500 0.000 0.654 As
0.000 0.500 0.346 As
```

Space-group type   P4/nmm


Entry 6:
Computed, not measured: a geometry-optimized CdSiAsO structure at the PBE level of DFT.

Structure (POSCAR):
```
CdSiAsO
1.0
-2.308 1.290 2.459
-0.035 -7.360 3.829
4.157 1.579 3.073
Si O As Cd
2 2 2 2
direct
0.500 0.614 0.501 Si
0.500 0.386 0.001 Si
0.500 0.501 0.752 O
0.500 0.499 0.252 O
0.000 0.797 0.500 As
0.000 0.203 0.000 As
0.000 0.847 0.000 Cd
0.000 0.153 0.500 Cd
```

Space-group type   Pmc2_1


| no. | density (g/cm3) | distance to the lowest polymorph of the same formula (meV/atom) | VASP energy (eV/atom) |
| --- | --- | --- | --- |
| 1 | 5.72 | 337 | -3.80 |
| 2 | 7.11 | 119 | -4.02 |
| 3 | 5.69 | 0 | -4.14 |
| 4 | 5.72 | 341 | -3.80 |
| 5 | 4.88 | 664 | -4.19 |
| 6 | 4.75 | 0 | -4.86 |